10
Lattice="4.5027 0.0000 0.0000 0.0000 4.5490 0.0000 0.0000 0.0000 10.8285" Properties=species:S:1:pos:R:3 comment="SrGa2GeAu | the Alexandria database | PBE-GGA | optimized geometry" spacegroup="Imm2 (44)" delta_e_f_kj_per_mol_atoms=-48 final_energy_ev_per_atom=-3.623 pbc="T T T"
Sr 0.0000 0.0000 0.0000
Sr 2.2513 2.2745 5.4142
Ga 0.0000 0.0000 4.1783
Ga 0.0000 2.2745 2.7228
Ga 2.2513 0.0000 8.1371
Ga 2.2513 2.2745 9.5925
Ge 0.0000 2.2745 8.1364
Ge 2.2513 0.0000 2.7221
Au 0.0000 0.0000 6.7388
Au 2.2513 2.2745 1.3246

---

4
Lattice="3.5120 0.0000 0.0000 0.0000 3.5120 0.0000 0.0000 0.0000 6.3958" Properties=species:S:1:pos:R:3 comment="UPdAu2 | the Alexandria database | PBE-GGA | optimized geometry" e_above_lowest_polymorph_mev_per_atom=84 spacegroup="P4/mmm (123)" delta_e_f_kj_per_mol_atoms=-16 final_energy_ev_per_atom=-5.920 pbc="T T T"
U 0.0000 0.0000 0.0000
Pd 0.0000 0.0000 3.1979
Au 1.7560 1.7560 1.7677
Au 1.7560 1.7560 4.6281

---

8
Lattice="3.0427 0.0000 0.0000 0.0000 4.4741 0.0000 0.0000 0.0000 8.7986" Properties=species:S:1:pos:R:3 comment="TaCr2Ag | the Alexandria database | PBE-GGA | optimized geometry" e_above_lowest_polymorph_mev_per_atom=62 spacegroup="Cmm2 (35)" delta_e_f_kj_per_mol_atoms=32 final_energy_ev_per_atom=-8.161 pbc="T T T"
Ta 0.0000 0.0000 0.0000
Ta 1.5214 2.2371 0.0000
Cr 0.0000 0.0000 4.8672
Cr 0.0000 2.2371 6.5881
Cr 1.5214 0.0000 6.5881
Cr 1.5214 2.2371 4.8672
Ag 0.0000 2.2371 2.5191
Ag 1.5214 0.0000 2.5191

---

5
Lattice="4.5624 0.0000 0.0000 0.0000 4.5624 0.0000 0.0000 0.0000 4.5624" Properties=species:S:1:pos:R:3 comment="MgGaRe3 | the Alexandria database | PBE-GGA | optimized geometry" e_above_lowest_polymorph_mev_per_atom=0 spacegroup="Pm-3m (221)" delta_e_f_kj_per_mol_atoms=170 final_energy_ev_per_atom=-6.635 pbc="T T T"
Mg 0.0000 0.0000 0.0000
Ga 2.2812 2.2812 2.2812
Re 0.0000 2.2812 2.2812
Re 2.2812 0.0000 2.2812
Re 2.2812 2.2812 0.0000